5
Lattice="5.209 0.000 0.000 0.000 5.209 0.000 0.000 0.000 5.209" Properties=species:S:1:pos:R:3 comment="AlSnHg3 PBE-GGA optimized geometry" n_ef_per_ev_fu=2.248 space_group="Pm-3m, No. 221" e_tot_ev_per_atom=-1.464 crystal_system=cubic de_polymorph_ev_per_atom=0.000 formation_energy_mev_per_atom=266 pbc="T T T"
Al 0.000 0.000 0.000
Sn 2.604 2.604 2.604
Hg 0.000 0.000 2.604
Hg 0.000 2.604 0.000
Hg 2.604 0.000 0.000



16
Lattice="6.519 0.000 0.000 0.000 6.519 0.000 0.000 0.000 6.519" Properties=species:S:1:pos:R:3 comment="LiEuCuSi PBE-GGA optimized geometry" n_ef_per_ev_fu=10.075 space_group="F-43m, No. 216" e_tot_ev_per_atom=-5.650 crystal_system=cubic pbc="T T T"
Li 0.000 0.000 0.000
Li 0.000 3.259 3.259
Li 3.259 0.000 3.259
Li 3.259 3.259 0.000
Eu 1.630 1.630 1.630
Eu 1.630 4.889 4.889
Eu 4.889 1.630 4.889
Eu 4.889 4.889 1.630
Cu 0.000 0.000 3.259
Cu 0.000 3.259 0.000
Cu 3.259 0.000 0.000
Cu 3.259 3.259 3.259
Si 1.630 1.630 4.889
Si 1.630 4.889 1.630
Si 4.889 1.630 1.630
Si 4.889 4.889 4.889



12
Lattice="5.910 0.000 0.000 0.000 5.910 0.000 0.000 0.000 5.910" Properties=species:S:1:pos:R:3 comment="MnSbMo PBE-GGA optimized geometry" n_ef_per_ev_fu=1.357 space_group="F-43m, No. 216" e_tot_ev_per_atom=-8.020 crystal_system=cubic de_polymorph_ev_per_atom=0.000 pbc="T T T"
Mn 0.000 0.000 0.000
Mn 0.000 2.955 2.955
Mn 2.955 0.000 2.955
Mn 2.955 2.955 0.000
Sb 1.478 1.478 4.433
Sb 1.478 4.433 1.478
Sb 4.433 1.478 1.478
Sb 4.433 4.433 4.433
Mo 1.478 1.478 1.478
Mo 1.478 4.433 4.433
Mo 4.433 1.478 4.433
Mo 4.433 4.433 1.478



| no. | mass density (g/cm3) |
| --- | --- |
| 1 | 8.78 |
| 2 | 6.01 |
| 3 | 8.77 |